Mn2GeHRu | PBE | relaxed

a = 3.7641 Å, b = 3.7641 Å, c = 3.8769 Å
α = 90.00°, β = 90.00°, γ = 90.00°
Last column: nearest neighbours and their distance in Å.
Space group P4/mmm (No. 123)
Symmetry-distinct sites (fractional):
Mn  0.0000  0.5000  0.0000 x2  2 H 1.88
Ge  0.0000  0.0000  0.5000 x1  4 Ru 2.66, 8 Mn 2.70
H  0.5000  0.5000  0.0000 x1  4 Mn 1.88, 2 Ru 1.94
Ru  0.5000  0.5000  0.5000 x1  2 H 1.94

- Calculated volume: 54.9 Å³ per cell
- Uncorrected energy: -36.10 eV/f.u.
- Size of the total moment: 1.07 μB per atom

MnGe2HS | PBE | relaxed

a = 4.8244 Å, b = 4.8244 Å, c = 3.3742 Å
α = 90.00°, β = 90.00°, γ = 90.00°
Last column: nearest neighbours and their distance in Å.
Space group P4/mmm (No. 123)
Symmetry-distinct sites (fractional):
Mn  0.0000  0.0000  0.0000 x1  2 H 1.69
Ge  0.0000  0.5000  0.0000 x2  2 Mn 2.41
H  0.0000  0.0000  0.5000 x1  2 Mn 1.69
S  0.5000  0.5000  0.5000 x1  8 Ge 2.94

- Calculated volume: 78.5 Å³ per cell
- Uncorrected energy: -24.56 eV/f.u.
- Size of the total moment: 0.55 μB per atom

Sc2Mn2Ge2H | PBE | relaxed

a = 3.8062 Å, b = 3.8062 Å, c = 13.7191 Å
α = 90.00°, β = 90.00°, γ = 90.00°
Last column: nearest neighbours and their distance in Å.
Space group I4/mmm (No. 139)
Symmetry-distinct sites (fractional):
Sc  0.0000  0.0000  0.1678 x4  1 H 2.30
Mn  0.0000  0.5000  0.0000 x4  2 H 1.90
Ge  0.0000  0.0000  0.3775 x4  4 Mn 2.54, 4 Sc 2.76
H  0.0000  0.0000  0.0000 x2  4 Mn 1.90

- Calculated volume: 198.8 Å³ per cell
- Uncorrected energy: -47.48 eV/f.u.
- Size of the total moment: 0.45 μB per atom

ScMnGeH2 | PBE | relaxed

a = 3.7704 Å, b = 3.7704 Å, c = 5.6045 Å
α = 90.00°, β = 90.00°, γ = 90.00°
Last column: nearest neighbours and their distance in Å.
Space group P4/mmm (No. 123)
Symmetry-distinct sites (fractional):
Sc  0.0000  0.0000  0.0000 x1  4 Mn 2.67, 2 Ge 2.80
Mn  0.5000  0.5000  0.0000 x1  4 Sc 2.67
Ge  0.0000  0.0000  0.5000 x1  4 H 1.89
H  0.0000  0.5000  0.5000 x2  2 Ge 1.89

- Calculated volume: 79.7 Å³ per cell
- Uncorrected energy: -23.31 eV/f.u.
- Size of the total moment: 0.68 μB per atom

Sc2MnGeH | PBE | relaxed

a = 4.3919 Å, b = 4.3919 Å, c = 3.7223 Å
α = 90.00°, β = 90.00°, γ = 90.00°
Last column: nearest neighbours and their distance in Å.
Space group P4/mmm (No. 123)
Symmetry-distinct sites (fractional):
Sc  0.0000  0.5000  0.0000 x2  2 H 2.20
Mn  0.0000  0.0000  0.5000 x1  2 H 1.86
Ge  0.5000  0.5000  0.5000 x1  8 Sc 2.88, 4 Mn 3.11
H  0.0000  0.0000  0.0000 x1  2 Mn 1.86

- Calculated volume: 71.8 Å³ per cell
- Uncorrected energy: -32.00 eV/f.u.
- Size of the total moment: 0.37 μB per atom

Mn2GeHSe | PBE | relaxed

a = 13.5584 Å, b = 2.9525 Å, c = 2.9875 Å
α = 90.00°, β = 96.58°, γ = 90.00°
Last column: nearest neighbours and their distance in Å.
Space group Cm (No. 8)
Symmetry-distinct sites (fractional):
Mn  0.0000  0.0000  0.0000 x2  2 H 1.66
Mn  0.2228  0.0000  0.2847 x2  4 Se 2.43-2.48, 2 Ge 2.49
Ge  0.0941  0.5000  0.5555 x2  1 H 2.27, 6 Mn 2.44-2.49
H  0.4498  0.0000  0.0856 x2  2 Mn 1.66
Se  0.3172  0.5000  0.8177 x2  2 H 2.39, 5 Mn 2.43-2.48

- Calculated volume: 118.8 Å³ per cell
- Distance to the lowest polymorph of the same formula: 181 meV per atom
- Size of the total moment: 0.17 μB per atom

Mn2GeHSe | PBE | relaxed

a = 8.5706 Å, b = 3.1595 Å, c = 5.4916 Å
α = 90.00°, β = 115.75°, γ = 90.00°
Last column: nearest neighbours and their distance in Å.
Space group Cm (No. 8)
Symmetry-distinct sites (fractional):
Mn  0.0000  0.0000  0.0000 x2  1 H 1.65
Mn  0.1996  0.5000  0.4129 x2  2 H 1.85
Ge  0.2915  0.0000  0.0311 x2  3 Mn 2.43-2.45
H  0.0741  0.0000  0.3319 x2  1 Mn 1.65
Se  0.4692  0.0000  0.6498 x2  4 Mn 2.41-2.63

- Calculated volume: 133.9 Å³ per cell
- Distance to the lowest polymorph of the same formula: 43 meV per atom
- Size of the total moment: 0.94 μB per atom

Mn2GeHSe | PBE | relaxed

a = 3.3654 Å, b = 3.4404 Å, c = 11.9458 Å
α = 90.00°, β = 90.00°, γ = 90.00°
Last column: nearest neighbours and their distance in Å.
Space group Amm2 (No. 38)
Symmetry-distinct sites (fractional):
Mn  0.0000  0.0000  0.0000 x2  2 H 1.82
Mn  0.5000  0.0000  0.1955 x2  1 H 1.64
Ge  0.0000  0.0000  0.6743 x2  6 Mn 2.42-2.70
H  0.5000  0.0000  0.0581 x2  3 Mn 1.64-1.82
Se  0.5000  0.0000  0.3988 x2  5 Mn 2.43-2.69, 2 H 2.57

- Calculated volume: 138.3 Å³ per cell
- Distance to the lowest polymorph of the same formula: 0 meV per atom
- Size of the total moment: 1.05 μB per atom

Mn2GeHSe | PBE | relaxed

a = 4.7517 Å, b = 3.1212 Å, c = 8.7666 Å
α = 90.00°, β = 90.00°, γ = 90.00°
Last column: nearest neighbours and their distance in Å.
Space group Amm2 (No. 38)
Symmetry-distinct sites (fractional):
Mn  0.0000  0.0000  0.0000 x2  2 H 1.73
Mn  0.5000  0.0000  0.3902 x2  3 Se 2.40-2.56, 2 Ge 2.54
Ge  0.0000  0.0000  0.2862 x2  3 H 2.36-2.61, 5 Mn 2.44-2.54
H  0.0000  0.0000  0.5840 x2  2 Mn 1.73
Se  0.5000  0.0000  0.0976 x2  5 Mn 2.40-2.56

- Calculated volume: 130.0 Å³ per cell
- Distance to the lowest polymorph of the same formula: 101 meV per atom
- Size of the total moment: 0.83 μB per atom

Mn2GeHSe | PBE | relaxed

a = 8.7979 Å, b = 3.3533 Å, c = 5.9551 Å
α = 90.00°, β = 130.35°, γ = 90.00°
Last column: nearest neighbours and their distance in Å.
Space group Cm (No. 8)
Symmetry-distinct sites (fractional):
Mn  0.0000  0.0000  0.0000 x2  1 H 1.74
Mn  0.0225  0.5000  0.6045 x2  2 H 1.84
Ge  0.2332  0.0000  0.5900 x2  6 Mn 2.49-2.69, 3 H 2.55-2.59
H  0.0016  0.0000  0.7087 x2  3 Mn 1.74-1.84
Se  0.2819  0.5000  0.1501 x2  6 Mn 2.48-2.68, 3 H 2.54-2.72

- Calculated volume: 133.9 Å³ per cell
- Distance to the lowest polymorph of the same formula: 83 meV per atom
- Size of the total moment: 1.11 μB per atom

Mn2GeHSe | PBE | relaxed

a = 2.7972 Å, b = 3.4476 Å, c = 14.3928 Å
α = 90.00°, β = 90.00°, γ = 90.00°
Last column: nearest neighbours and their distance in Å.
Space group Imm2 (No. 44)
Symmetry-distinct sites (fractional):
Mn  0.0000  0.0000  0.0000 x2  2 H 1.90
Mn  0.0000  0.0000  0.3723 x2  2 H 1.74
Ge  0.0000  0.0000  0.7934 x2  4 Mn 2.49, 1 Se 2.68, 2 H 2.78
H  0.0000  0.5000  0.9448 x2  4 Mn 1.74-1.90
Se  0.0000  0.0000  0.6070 x2  1 Ge 2.68, 4 Mn 2.70, 2 H 2.72, 2 Se 2.80

- Calculated volume: 138.8 Å³ per cell
- Distance to the lowest polymorph of the same formula: 98 meV per atom
- Size of the total moment: 1.09 μB per atom

Mn2GeHSe | PBE | relaxed

a = 3.2060 Å, b = 3.5490 Å, c = 11.4490 Å
α = 90.00°, β = 90.00°, γ = 90.00°
Last column: nearest neighbours and their distance in Å.
Space group Imm2 (No. 44)
Symmetry-distinct sites (fractional):
Mn  0.0000  0.0000  0.0000 x2  2 H 1.83
Mn  0.0000  0.5000  0.2742 x2  1 H 1.71
Ge  0.0000  0.5000  0.8385 x2  6 Mn 2.50-2.56, 4 H 2.58
H  0.0000  0.5000  0.4235 x2  3 Mn 1.71-1.83
Se  0.0000  0.0000  0.6035 x2  6 Mn 2.53-2.67, 2 H 2.72

- Calculated volume: 130.3 Å³ per cell
- Distance to the lowest polymorph of the same formula: 33 meV per atom
- Size of the total moment: 1.05 μB per atom

Mn2GeHSe | PBE | relaxed

a = 4.4879 Å, b = 2.9990 Å, c = 5.2178 Å
α = 90.00°, β = 111.63°, γ = 90.00°
Last column: nearest neighbours and their distance in Å.
Space group Pm (No. 6)
Symmetry-distinct sites (fractional):
Mn  0.0000  0.0000  0.0000 x1  2 H 1.81
Mn  0.0273  0.5000  0.5146 x1  1 H 1.81
Ge  0.4481  0.5000  0.3079 x1  4 Mn 2.42-2.55, 1 H 2.57
H  0.8820  0.5000  0.7946 x1  3 Mn 1.81
Se  0.3971  0.0000  0.7921 x1  4 Mn 2.31-2.52

- Calculated volume: 65.3 Å³ per cell
- Distance to the lowest polymorph of the same formula: 147 meV per atom
- Size of the total moment: 0.21 μB per atom

Mn2GeHSe | PBE | relaxed

a = 3.2959 Å, b = 3.2959 Å, c = 12.4057 Å
α = 90.00°, β = 90.00°, γ = 90.00°
Last column: nearest neighbours and their distance in Å.
Space group I4mm (No. 107)
Symmetry-distinct sites (fractional):
Mn  0.0000  0.0000  0.0000 x2  1 Ge 2.50, 4 Se 2.50
Mn  0.0000  0.0000  0.3662 x2  1 H 1.60
Ge  0.0000  0.0000  0.7987 x2  4 H 2.45, 5 Mn 2.48-2.50
H  0.0000  0.0000  0.2370 x2  1 Mn 1.60
Se  0.0000  0.0000  0.5734 x2  5 Mn 2.50-2.57, 1 Ge 2.80

- Calculated volume: 134.8 Å³ per cell
- Distance to the lowest polymorph of the same formula: 42 meV per atom
- Size of the total moment: 0.98 μB per atom

Mn2GeHSe | PBE | relaxed

a = 5.0439 Å, b = 4.8691 Å, c = 6.3530 Å
α = 90.00°, β = 111.67°, γ = 90.00°
Last column: nearest neighbours and their distance in Å.
Space group Cm (No. 8)
Symmetry-distinct sites (fractional):
Mn  0.0000  0.2137  0.0000 x4  2 H 1.80-1.81
Ge  0.0853  0.5000  0.6881 x2  4 Mn 2.51-2.59, 1 H 2.71
H  0.2556  0.0000  0.9419 x2  4 Mn 1.80-1.81
Se  0.3524  0.5000  0.2848 x2  4 Mn 2.43-2.45

- Calculated volume: 145.0 Å³ per cell
- Distance to the lowest polymorph of the same formula: 160 meV per atom
- Size of the total moment: 0.00 μB per atom

Mn2GeHSe | PBE | relaxed

a = 3.0183 Å, b = 3.0385 Å, c = 12.7026 Å
α = 90.00°, β = 90.00°, γ = 90.00°
Last column: nearest neighbours and their distance in Å.
Space group Imm2 (No. 44)
Symmetry-distinct sites (fractional):
Mn  0.0000  0.0000  0.0000 x2  2 Se 2.34, 4 Ge 2.52
Mn  0.0000  0.0000  0.2142 x2  2 H 1.64
Ge  0.0000  0.0000  0.6050 x2  8 Mn 2.52-2.55, 2 H 2.54
H  0.0000  0.5000  0.7655 x2  2 Mn 1.64
Se  0.0000  0.5000  0.3594 x2  4 Mn 2.34-2.39, 4 H 2.45

- Calculated volume: 116.5 Å³ per cell
- Distance to the lowest polymorph of the same formula: 59 meV per atom
- Size of the total moment: 0.10 μB per atom

Mn2GeHSe | PBE | relaxed

a = 2.8406 Å, b = 2.9694 Å, c = 7.3334 Å
α = 90.00°, β = 90.00°, γ = 90.00°
Last column: nearest neighbours and their distance in Å.
Space group Pmm2 (No. 25)
Symmetry-distinct sites (fractional):
Mn  0.0000  0.0000  0.0000 x1  4 Mn 2.48, 4 Ge 2.51, 2 H 2.57
Mn  0.5000  0.5000  0.1896 x1  2 H 1.59
Ge  0.5000  0.5000  0.8030 x1  4 Mn 2.51
H  0.0000  0.5000  0.2866 x1  2 Mn 1.59
Se  0.5000  0.0000  0.4537 x1  4 H 2.39, 2 Mn 2.44

- Calculated volume: 61.9 Å³ per cell
- Distance to the lowest polymorph of the same formula: 212 meV per atom
- Size of the total moment: 0.00 μB per atom

Mn2GeHSe | PBE | relaxed

a = 7.6353 Å, b = 2.8278 Å, c = 7.5217 Å
α = 90.00°, β = 114.79°, γ = 90.00°
Last column: nearest neighbours and their distance in Å.
Space group Cm (No. 8)
Symmetry-distinct sites (fractional):
Mn  0.0000  0.0000  0.0000 x2  2 H 1.83
Mn  0.1577  0.5000  0.8270 x2  2 H 1.87
Ge  0.3629  0.5000  0.6289 x2  4 Mn 2.54-2.58, 2 H 2.57, 2 Ge 2.83
H  0.3345  0.0000  0.9009 x2  4 Mn 1.83-1.87
Se  0.2620  0.5000  0.1902 x2  3 Mn 2.38-2.50

- Calculated volume: 147.4 Å³ per cell
- Distance to the lowest polymorph of the same formula: 115 meV per atom
- Size of the total moment: 0.15 μB per atom

Mn2GeHSe | PBE | relaxed

a = 3.2279 Å, b = 3.3233 Å, c = 6.2145 Å
α = 90.00°, β = 90.00°, γ = 90.00°
Last column: nearest neighbours and their distance in Å.
Space group Pmm2 (No. 25)
Symmetry-distinct sites (fractional):
Mn  0.0000  0.0000  0.0000 x1  2 H 1.76
Mn  0.5000  0.5000  0.2536 x1  2 H 1.90
Ge  0.5000  0.5000  0.8024 x1  2 H 2.42, 4 Mn 2.62
H  0.0000  0.5000  0.0926 x1  4 Mn 1.76-1.90
Se  0.0000  0.0000  0.4211 x1  5 Mn 2.54-2.62, 2 H 2.63

- Calculated volume: 66.7 Å³ per cell
- Distance to the lowest polymorph of the same formula: 88 meV per atom
- Size of the total moment: 1.08 μB per atom

Mn2GeHSe | PBE | relaxed

a = 8.9995 Å, b = 2.9715 Å, c = 5.2472 Å
α = 90.00°, β = 115.60°, γ = 90.00°
Last column: nearest neighbours and their distance in Å.
Space group Cm (No. 8)
Symmetry-distinct sites (fractional):
Mn  0.0000  0.0000  0.0000 x2  2 H 1.87
Mn  0.0391  0.0000  0.5020 x2  2 H 2.02
Ge  0.2159  0.5000  0.9867 x2  3 Mn 2.47-2.53, 1 H 2.57
H  0.0222  0.5000  0.2299 x2  4 Mn 1.87-2.02
Se  0.3476  0.0000  0.6209 x2  5 Mn 2.38-2.57

- Calculated volume: 126.5 Å³ per cell
- Distance to the lowest polymorph of the same formula: 94 meV per atom
- Size of the total moment: 0.60 μB per atom

Mn2GeHSe | PBE | relaxed

a = 3.4161 Å, b = 3.5718 Å, c = 12.3247 Å
α = 90.00°, β = 90.00°, γ = 90.00°
Last column: nearest neighbours and their distance in Å.
Space group Imm2 (No. 44)
Symmetry-distinct sites (fractional):
Mn  0.0000  0.0000  0.0000 x2  2 H 1.82
Mn  0.0000  0.5000  0.1678 x2  1 H 1.72
Ge  0.0000  0.5000  0.6572 x2  6 Mn 2.47-2.58
H  0.0000  0.5000  0.0287 x2  3 Mn 1.72-1.82
Se  0.0000  0.5000  0.3640 x2  3 Mn 2.39-2.42

- Calculated volume: 150.4 Å³ per cell
- Distance to the lowest polymorph of the same formula: 2 meV per atom
- Size of the total moment: 1.06 μB per atom

Mn2GeHSe | PBE | relaxed

a = 3.1524 Å, b = 3.6786 Å, c = 11.8356 Å
α = 90.00°, β = 90.00°, γ = 90.00°
Last column: nearest neighbours and their distance in Å.
Space group Amm2 (No. 38)
Symmetry-distinct sites (fractional):
Mn  0.0000  0.0000  0.0000 x2  2 H 1.66
Mn  0.5000  0.0000  0.1988 x2  2 Se 2.44, 4 Ge 2.53
Ge  0.0000  0.0000  0.6376 x2  6 Mn 2.46-2.53
H  0.5000  0.0000  0.9555 x2  2 Mn 1.66
Se  0.0000  0.0000  0.3564 x2  4 Mn 2.44-2.50, 4 H 2.69

- Calculated volume: 137.3 Å³ per cell
- Distance to the lowest polymorph of the same formula: 28 meV per atom
- Size of the total moment: 0.94 μB per atom

Mn2GeHSe | PBE | relaxed

a = 2.7235 Å, b = 4.1520 Å, c = 6.5968 Å
α = 90.00°, β = 90.00°, γ = 90.00°
Last column: nearest neighbours and their distance in Å.
Space group Pmm2 (No. 25)
Symmetry-distinct sites (fractional):
Mn  0.0000  0.0000  0.0000 x1  2 H 1.67
Mn  0.5000  0.5000  0.1259 x1  2 Ge 2.51, 2 Se 2.58, 6 Mn 2.62-2.72, 2 H 2.75
Ge  0.5000  0.0000  0.3387 x1  4 Mn 2.51-2.62, 2 Ge 2.72
H  0.5000  0.0000  0.8535 x1  2 Mn 1.67
Se  0.0000  0.5000  0.7940 x1  4 Mn 2.48-2.58, 4 H 2.51, 2 Se 2.72

- Calculated volume: 74.6 Å³ per cell
- Distance to the lowest polymorph of the same formula: 156 meV per atom
- Size of the total moment: 0.21 μB per atom

MnSn2GeH | PBE | relaxed

a = 5.0098 Å, b = 5.0098 Å, c = 4.5673 Å
α = 90.00°, β = 90.00°, γ = 90.00°
Last column: nearest neighbours and their distance in Å.
Space group P4/mmm (No. 123)
Symmetry-distinct sites (fractional):
Mn  0.0000  0.0000  0.0000 x1  2 Ge 2.28, 4 Sn 2.50
Sn  0.0000  0.5000  0.0000 x2  2 Mn 2.50
Ge  0.0000  0.0000  0.5000 x1  2 Mn 2.28
H  0.5000  0.5000  0.5000 x1  8 Sn 3.39, 4 Ge 3.54

- Calculated volume: 114.6 Å³ per cell
- Uncorrected energy: -23.37 eV/f.u.
- Size of the total moment: 0.00 μB per atom

TaMn2GeH | PBE | relaxed

a = 3.8042 Å, b = 3.8042 Å, c = 4.0399 Å
α = 90.00°, β = 90.00°, γ = 90.00°
Last column: nearest neighbours and their distance in Å.
Space group P4/mmm (No. 123)
Symmetry-distinct sites (fractional):
Ta  0.0000  0.0000  0.0000 x1  2 H 2.02
Mn  0.0000  0.5000  0.5000 x2  2 H 1.90
Ge  0.5000  0.5000  0.0000 x1  4 Ta 2.69, 8 Mn 2.77
H  0.0000  0.0000  0.5000 x1  4 Mn 1.90, 2 Ta 2.02

- Calculated volume: 58.5 Å³ per cell
- Uncorrected energy: -38.65 eV/f.u.
- Size of the total moment: 0.81 μB per atom